VASP calculation (PBE) on a relaxed structure of Rb2B2SbS6.

Lattice parameters (Å, degrees): 6.649 6.648 8.511 113.05 90.00 120.01
Fractional coordinates of all 11 atoms:
S 0.754 0.981 0.736
S 0.773 0.019 0.264
S 0.246 0.019 0.264
S 0.245 0.490 0.263
S 0.227 0.981 0.736
S 0.755 0.510 0.737
Sb 0.500 0.000 0.500
Rb 0.286 0.572 0.859
Rb 0.714 0.428 0.141
B 0.902 0.805 0.707
B 0.098 0.195 0.293

Properties
The energy relative to the elements, uncorrected is -0.53 eV/atom.



VASP calculation (PBE) on a relaxed structure of KPu2Br6.

Lattice parameters (Å, degrees): 7.572 10.464 10.464 77.56 68.76 68.76
Each line ends with the local moment (μB).
Fractional coordinates of all 18 atoms:
Pu 0.501 0.332 0.165  5.45
Pu 0.999 0.835 0.668  5.45
Pu 0.499 0.668 0.835  5.45
Pu 0.001 0.165 0.332  5.45
K 0.750 0.748 0.252  0.00
K 0.250 0.252 0.748  0.00
Br 0.517 0.615 0.117  -0.04
Br 0.068 0.432 0.300  -0.04
Br 0.983 0.883 0.385  -0.04
Br 0.017 0.117 0.615  -0.04
Br 0.432 0.700 0.568  -0.04
Br 0.483 0.385 0.883  -0.04
Br 0.066 0.801 0.934  -0.04
Br 0.566 0.934 0.801  -0.04
Br 0.568 0.300 0.432  -0.04
Br 0.934 0.199 0.066  -0.04
Br 0.434 0.066 0.199  -0.04
Br 0.932 0.568 0.700  -0.04

Properties
The energy above the most stable polymorph in this dataset is 0.00 kJ/mol of atoms. The energy relative to the elements, uncorrected is -1.61 eV/atom.



VASP calculation (PBE) on a relaxed structure of HgAs2Ir2.

Lattice parameters (Å, degrees): 4.052 4.052 6.392 71.52 71.52 90.00
Fractional coordinates of all 5 atoms:
Ir 0.380 0.380 0.240
Ir 0.620 0.620 0.760
As 0.250 0.750 0.500
As 0.750 0.250 0.500
Hg 0.000 0.000 0.000

Properties
Its energy of formation is 180 meV per atom.



VASP calculation (PBE) on a relaxed structure of SrZnPb.

Lattice parameters (Å, degrees): 5.060 6.384 6.385 82.71 66.65 66.65
Fractional coordinates of all 6 atoms:
Zn 0.796 0.449 0.675
Zn 0.296 0.560 0.563
Sr 0.475 0.027 0.737
Sr 0.975 0.623 0.142
Pb 0.675 0.238 0.127
Pb 0.175 0.013 0.352

Properties
Its energy of formation is -323 meV per atom.



VASP calculation (PBE) on a relaxed structure of Ce2Pm2SiIr4.

Lattice parameters (Å, degrees): 6.508 6.508 6.508 87.37 121.53 121.53
Each line ends with the local moment (μB).
Fractional coordinates of all 9 atoms:
Ir 0.000 0.261 0.739  0.00
Ir 0.522 0.261 0.261  0.00
Ir 0.000 0.739 0.261  0.00
Ir 0.478 0.739 0.739  0.00
Pm 0.500 0.250 0.750  0.02
Pm 0.500 0.750 0.250  0.02
Ce 0.000 0.309 0.309  0.10
Ce 0.000 0.691 0.691  0.10
Si 0.000 0.000 0.000  0.00

Properties
The energy relative to the elements, uncorrected is -0.43 eV/atom.



VASP calculation (PBE) on a relaxed structure of Ba2ScAu2.

Lattice parameters (Å, degrees): 7.802 7.802 5.178 90.00 90.00 90.00
Fractional coordinates of all 10 atoms:
Sc 0.500 0.500 0.000
Sc 0.000 0.000 0.000
Ba 0.833 0.333 0.500
Ba 0.167 0.667 0.500
Ba 0.333 0.167 0.500
Ba 0.667 0.833 0.500
Au 0.855 0.645 0.000
Au 0.355 0.855 0.000
Au 0.645 0.145 0.000
Au 0.145 0.355 0.000

Properties
Its energy of formation is -438 meV per atom.



VASP calculation (PBE) on a relaxed structure of Mg3NpRh4.

Lattice parameters (Å, degrees): 3.353 4.478 8.771 90.00 90.00 90.00
Each line ends with the local moment (μB).
Fractional coordinates of all 8 atoms:
Rh 0.000 0.000 0.500  -0.02
Rh 0.000 0.000 0.000  -0.17
Rh 0.000 0.500 0.759  -0.15
Rh 0.000 0.500 0.241  -0.15
Mg 0.500 0.000 0.735  0.00
Mg 0.500 0.500 0.500  0.00
Mg 0.500 0.000 0.265  0.00
Np 0.500 0.500 0.000  2.86

Properties
Its energy of formation is -506 meV per atom.



VASP calculation (PBE) on a relaxed structure of TmCd3Hg4.

Lattice parameters (Å, degrees): 4.746 4.424 11.480 54.48 101.93 90.00
Fractional coordinates of all 8 atoms:
Cd 0.873 0.385 0.745
Cd 0.000 0.500 0.000
Cd 0.127 0.615 0.255
Tm 0.500 0.000 0.000
Hg 0.252 0.745 0.503
Hg 0.620 0.137 0.241
Hg 0.380 0.863 0.759
Hg 0.748 0.255 0.497

Properties
Its energy of formation is -120 meV per atom. The energy above the most stable polymorph in this dataset is 2.84 kJ/mol of atoms.



VASP calculation (PBE) on a relaxed structure of Pr5Sm3Y.

Lattice parameters (Å, degrees): 6.885 12.349 11.825 135.99 90.00 106.19
Fractional coordinates of all 18 atoms:
Sm 0.639 0.479 0.608
Sm 0.000 0.000 0.000
Sm 0.361 0.521 0.392
Sm 0.000 0.000 0.500
Sm 0.840 0.479 0.108
Sm 0.160 0.521 0.892
Y 0.763 0.000 0.750
Y 0.237 0.000 0.250
Pr 0.268 0.346 0.998
Pr 0.921 0.654 0.502
Pr 0.687 0.000 0.250
Pr 0.313 0.000 0.750
Pr 0.392 0.782 0.832
Pr 0.390 0.782 0.332
Pr 0.732 0.654 0.002
Pr 0.608 0.218 0.168
Pr 0.610 0.218 0.668
Pr 0.079 0.346 0.498

Properties
Its energy of formation is 154 meV per atom. The energy above the most stable polymorph in this dataset is 0.00 kJ/mol of atoms.



VASP calculation (PBE) on a relaxed structure of KTa2InRu.

Lattice parameters (Å, degrees): 4.739 4.547 4.739 90.00 90.00 90.00
Fractional coordinates of all 5 atoms:
K 0.000 0.000 0.000
Ta 0.000 0.000 0.500
Ta 0.500 0.000 0.000
Ru 0.000 0.500 0.000
In 0.500 0.500 0.500

Properties
Its energy of formation is 2716 meV per atom.



VASP calculation (PBE) on a relaxed structure of Sr2CaTlW.

Lattice parameters (Å, degrees): 6.234 5.374 6.234 90.00 90.00 90.00
Each line ends with the local moment (μB).
Fractional coordinates of all 5 atoms:
W 0.000 0.500 0.000  2.31
Ca 0.500 0.500 0.500  0.05
Sr 0.000 0.000 0.500  0.01
Sr 0.500 0.000 0.000  0.03
Tl 0.000 0.000 0.000  0.01

Properties
Its energy of formation is 941 meV per atom.



VASP calculation (PBE) on a relaxed structure of YWAu2.

Lattice parameters (Å, degrees): 3.032 3.032 8.526 90.00 90.00 90.01
Fractional coordinates of all 4 atoms:
Au 0.000 0.000 0.012
Au 0.500 0.500 0.262
Y 0.500 0.500 0.749
W 0.000 0.000 0.477

Properties
Its energy of formation is 111 meV per atom. The energy above the most stable polymorph in this dataset is 4.47 kJ/mol of atoms.



Number 1: N(E_F) 0.4135 states/eV/atom. Number 2: N(E_F) 2.9950 states/eV/atom. Number 3: N(E_F) 0.7431 states/eV/atom. Number 4: N(E_F) 0.4230 states/eV/atom. Number 5: N(E_F) 1.2967 states/eV/atom. Number 6: N(E_F) 1.1424 states/eV/atom. Number 7: N(E_F) 1.0307 states/eV/atom. Number 8: N(E_F) 0.3831 states/eV/atom. Number 9: N(E_F) 1.3935 states/eV/atom. Number 10: N(E_F) 1.7005 states/eV/atom. Number 11: N(E_F) 1.2347 states/eV/atom. Number 12: N(E_F) 0.8717 states/eV/atom.